Below is a relaxed K4CoPd3O8 crystal, with properties calculated at the PBE+U level.

Cell: 13.223 6.019 6.825 Å, 90.00 118.45 90.00°
Space group C2/m (No. 12)
Inequivalent atoms, fractional coordinates:
K (0.000, 0.000, 0.000) (multiplicity 2)
K (0.000, 0.500, 0.000) (multiplicity 2)
K (0.250, 0.250, 0.500) (multiplicity 4)
Co (0.000, 0.000, 0.500) (multiplicity 2)
Pd (0.000, 0.500, 0.500) (multiplicity 2)
Pd (0.250, 0.250, 0.000) (multiplicity 4)
O (0.027, 0.228, 0.347) (multiplicity 8)
O (0.180, 0.500, 0.753) (multiplicity 4)
O (0.237, 0.500, 0.174) (multiplicity 4)

Properties
The total energy is -158.410 eV per cell.